Material: Mg2ZnCo
Method: DFT, PBE
State: relaxed

- E: -2.671 eV/atom
- Symmetry: P6_3/mmc (194)

a b c (Å): 2.945 2.945 16.678
angles (deg): 90.00 90.00 120.00
Sites, in units of the cell vectors:
Mg 0.333 0.667 0.136
Mg 0.333 0.667 0.364
Mg 0.667 0.333 0.636
Mg 0.667 0.333 0.864
Zn 0.000 0.000 0.000
Zn 0.000 0.000 0.500
Co 0.333 0.667 0.750
Co 0.667 0.333 0.250

=====

Material: MgZrZnCo
Method: DFT, PBE
State: relaxed

- E: -4.646 eV/atom
- Symmetry: F-43m (216)
- E above lowest polymorph: 0.000 eV/atom

a b c (Å): 4.493 4.493 4.493
angles (deg): 60.00 60.00 60.00
Sites, in units of the cell vectors:
Mg 0.000 0.000 0.000
Zr 0.750 0.750 0.750
Zn 0.250 0.250 0.250
Co 0.500 0.500 0.500

=====

Material: MgZrZnCo
Method: DFT, PBE
State: relaxed

- E: -4.530 eV/atom
- Symmetry: F-43m (216)
- E above lowest polymorph: 0.116 eV/atom

a b c (Å): 4.480 4.480 4.480
angles (deg): 60.00 60.00 60.00
Sites, in units of the cell vectors:
Mg 0.000 0.000 0.000
Zr 0.250 0.250 0.250
Zn 0.500 0.500 0.500
Co 0.750 0.750 0.750

=====

Material: Mg2ZrCo
Method: DFT, PBE
State: relaxed

- E: -4.641 eV/atom
- Symmetry: F-43m (216)

a b c (Å): 4.619 4.619 4.619
angles (deg): 60.00 60.00 60.00
Sites, in units of the cell vectors:
Mg 0.000 0.000 0.000
Mg 0.250 0.250 0.250
Zr 0.500 0.500 0.500
Co 0.750 0.750 0.750

=====

Material: CoMo
Method: DFT, PBE
State: relaxed

- E_form: 1.385 eV/atom
- E: -7.592 eV/atom
- Symmetry: F-43m (216)

a b c (Å): 3.730 3.730 3.730
angles (deg): 60.00 60.00 60.00
Sites, in units of the cell vectors:
Co 0.000 0.000 0.000
Mo 0.750 0.750 0.750

=====

Material: CoMo
Method: DFT, PBE
State: relaxed

- E_form: 0.776 eV/atom
- E: -8.201 eV/atom
- Symmetry: Fm-3m (225)

a b c (Å): 3.430 3.430 3.430
angles (deg): 60.00 60.00 60.00
Sites, in units of the cell vectors:
Co 0.000 0.000 0.000
Mo 0.500 0.500 0.500